--- i ---
Here is crystalline VRe3P at its relaxed geometry from Alexandria via LeMat-Bulk. Energies are from PBE.

magnetization: 0.00 μB per formula unit

Cell: 4.499 4.499 4.499 Å, 90.00 90.00 90.00°
Space group Pm-3m (No. 221)
Inequivalent atoms, fractional coordinates:
V  0.000  0.000  0.000 x1
Re  0.000  0.000  0.500 x3
P  0.500  0.500  0.500 x1

***

--- ii ---
Here is crystalline VRe3P at its relaxed geometry from Alexandria via LeMat-Bulk. Energies are from PBE.

magnetization: 0.17 μB per formula unit

Cell: 4.336 4.336 4.336 Å, 90.00 90.00 90.00°
Space group Pm-3m (No. 221)
Inequivalent atoms, fractional coordinates:
V  0.000  0.000  0.000 x1
Re  0.000  0.500  0.500 x3
P  0.500  0.500  0.500 x1

***

Calculated relative energies: i 1.174; ii 0.000, given in eV/atom

***

--- i ---
Here is crystalline RePW3 at its relaxed geometry from Alexandria via LeMat-Bulk. Energies are from PBE.

magnetization: 0.00 μB per formula unit

Cell: 4.392 4.392 4.392 Å, 90.00 90.00 90.00°
Space group Pm-3m (No. 221)
Inequivalent atoms, fractional coordinates:
Re  0.000  0.000  0.000 x1
P  0.500  0.500  0.500 x1
W  0.000  0.500  0.500 x3

***

--- ii ---
Here is crystalline RePW3 at its relaxed geometry from Alexandria via LeMat-Bulk. Energies are from PBE.

magnetization: 0.00 μB per formula unit

Cell: 4.764 4.764 4.764 Å, 90.00 90.00 90.00°
Space group Pm-3m (No. 221)
Inequivalent atoms, fractional coordinates:
Re  0.000  0.000  0.000 x1
P  0.500  0.500  0.500 x1
W  0.000  0.000  0.500 x3

***

Calculated relative energies: i 0.000; ii 1.230, given in eV/atom

***

--- i ---
Here is crystalline YReP2 at its relaxed geometry from Alexandria via LeMat-Bulk. Energies are from PBE.

magnetization: 0.00 μB per formula unit

Cell: 5.421 5.421 12.708 Å, 90.00 90.00 90.00°
Space group I-42d (No. 122)
Inequivalent atoms, fractional coordinates:
Y  0.000  0.000  0.000 x4
Re  0.000  0.000  0.500 x4
P  0.169  0.250  0.625 x8

***

--- ii ---
Here is crystalline YReP2 at its relaxed geometry from Alexandria via LeMat-Bulk. Energies are from PBE.

magnetization: 0.00 μB per formula unit

Cell: 3.2096 3.2096 23.8352 Å, 90.00 90.00 120.00°
Space group R3m (No. 160, hexagonal axes)
Inequivalent atoms, fractional coordinates:
Y  0.0000  0.0000  0.0000 x3
Re  0.0000  0.0000  0.7662 x3
P  0.0000  0.0000  0.2407 x3
P  0.0000  0.0000  0.4986 x3

***

--- iii ---
Here is crystalline YReP2 at its relaxed geometry from Alexandria via LeMat-Bulk. Energies are from PBE.

magnetization: 0.00 μB per formula unit

Cell: 6.464 6.464 6.464 Å, 90.00 90.00 90.00°
Space group F-43m (No. 216)
Inequivalent atoms, fractional coordinates:
Y  0.000  0.000  0.000 x4
Re  0.250  0.250  0.750 x4
P  0.000  0.000  0.500 x4
P  0.250  0.250  0.250 x4

***

Calculated relative energies: i 0.000; ii 0.473; iii 0.687, given in eV/atom

***

--- i ---
Here is crystalline YReP at its relaxed geometry from Alexandria via LeMat-Bulk. Energies are from PBE.

magnetization: 0.00 μB per formula unit

Cell: 3.184 3.184 10.541 Å, 90.00 90.00 90.00°
Space group I4mm (No. 107)
Inequivalent atoms, fractional coordinates:
Y  0.000  0.000  0.000 x2
Re  0.000  0.000  0.704 x2
P  0.000  0.000  0.300 x2

***

--- ii ---
Here is crystalline YReP at its relaxed geometry from Alexandria via LeMat-Bulk. Energies are from PBE.

magnetization: 1.23 μB per formula unit

Cell: 6.477 6.477 6.477 Å, 90.00 90.00 90.00°
Space group F-43m (No. 216)
Inequivalent atoms, fractional coordinates:
Y  0.000  0.000  0.000 x4
Re  0.250  0.250  0.750 x4
P  0.250  0.250  0.250 x4

***

--- iii ---
Here is crystalline YReP at its relaxed geometry from Alexandria via LeMat-Bulk. Energies are from PBE.

magnetization: 1.30 μB per formula unit

Cell: 6.154 6.154 6.154 Å, 90.00 90.00 90.00°
Space group F-43m (No. 216)
Inequivalent atoms, fractional coordinates:
Y  0.000  0.000  0.000 x4
Re  0.000  0.000  0.500 x4
P  0.250  0.250  0.250 x4

***

--- iv ---
Here is crystalline YReP at its relaxed geometry from Alexandria via LeMat-Bulk. Energies are from PBE.

magnetization: 0.00 μB per formula unit

Cell: 4.0309 4.0309 4.2169 Å, 90.00 90.00 120.00°
Space group P-6m2 (No. 187)
Inequivalent atoms, fractional coordinates:
Y  0.0000  0.0000  0.0000 x1
Re  0.6667  0.3333  0.5000 x1
P  0.3333  0.6667  0.5000 x1

***

Calculated relative energies: i 0.028; ii 1.574; iii 0.444; iv 0.000, given in eV/atom

***

--- i ---
Here is crystalline YReP3 at its relaxed geometry from Alexandria via LeMat-Bulk. Energies are from PBE.

magnetization: 0.00 μB per formula unit

Cell: 5.003 5.003 5.003 Å, 90.00 90.00 90.00°
Space group Pm-3m (No. 221)
Inequivalent atoms, fractional coordinates:
Y  0.000  0.000  0.000 x1
Re  0.500  0.500  0.500 x1
P  0.000  0.000  0.500 x3

***

--- ii ---
Here is crystalline YReP3 at its relaxed geometry from Alexandria via LeMat-Bulk. Energies are from PBE.

magnetization: 0.00 μB per formula unit

Cell: 4.674 4.674 4.674 Å, 90.00 90.00 90.00°
Space group Pm-3m (No. 221)
Inequivalent atoms, fractional coordinates:
Y  0.000  0.000  0.000 x1
Re  0.500  0.500  0.500 x1
P  0.000  0.500  0.500 x3

***

Calculated relative energies: i 1.910; ii 0.000, given in eV/atom

***

--- i ---
Here is crystalline YRe3P at its relaxed geometry from Alexandria via LeMat-Bulk. Energies are from PBE.

magnetization: 1.52 μB per formula unit

Cell: 4.487 4.487 4.487 Å, 90.00 90.00 90.00°
Space group Pm-3m (No. 221)
Inequivalent atoms, fractional coordinates:
Y  0.000  0.000  0.000 x1
Re  0.000  0.500  0.500 x3
P  0.500  0.500  0.500 x1

***

--- ii ---
Here is crystalline YRe3P at its relaxed geometry from Alexandria via LeMat-Bulk. Energies are from PBE.

magnetization: 2.29 μB per formula unit

Cell: 4.844 4.844 4.844 Å, 90.00 90.00 90.00°
Space group Pm-3m (No. 221)
Inequivalent atoms, fractional coordinates:
Y  0.000  0.000  0.000 x1
Re  0.000  0.000  0.500 x3
P  0.500  0.500  0.500 x1

***

Calculated relative energies: i 0.000; ii 3.044, given in eV/atom

***

--- i ---
Here is crystalline ZnRe2P at its relaxed geometry from Alexandria via LeMat-Bulk. Energies are from PBE.

magnetization: 0.00 μB per formula unit

Cell: 6.154 6.154 6.154 Å, 90.00 90.00 90.00°
Space group F-43m (No. 216)
Inequivalent atoms, fractional coordinates:
Zn  0.000  0.000  0.000 x4
Re  0.000  0.000  0.500 x4
Re  0.250  0.250  0.250 x4
P  0.250  0.250  0.750 x4

***

--- ii ---
Here is crystalline ZnRe2P at its relaxed geometry from Alexandria via LeMat-Bulk. Energies are from PBE.

magnetization: 0.00 μB per formula unit

Cell: 2.899 4.313 4.844 Å, 90.00 106.87 90.00°
Space group Pm (No. 6)
Inequivalent atoms, fractional coordinates:
Zn  0.000  0.000  0.000 x1
Re  0.331  0.500  0.684 x1
Re  0.729  0.000  0.469 x1
P  0.612  0.500  0.234 x1

***

Calculated relative energies: i 0.306; ii 0.000, given in eV/atom

***

--- i ---
Here is crystalline ZnRe2P at its relaxed geometry from Alexandria via LeMat-Bulk. Energies are from PBE.

magnetization: 0.00 μB per formula unit

Cell: 5.994 5.994 5.994 Å, 90.00 90.00 90.00°
Space group Fm-3m (No. 225)
Inequivalent atoms, fractional coordinates:
Zn  0.000  0.000  0.000 x4
Re  0.250  0.250  0.250 x8
P  0.000  0.000  0.500 x4

***

--- ii ---
Here is crystalline ZnRe2P at its relaxed geometry from Alexandria via LeMat-Bulk. Energies are from PBE.

magnetization: 0.00 μB per formula unit

Cell: 5.578 8.154 2.829 Å, 90.00 116.67 90.00°
Space group C2/m (No. 12)
Inequivalent atoms, fractional coordinates:
Zn  0.000  0.000  0.000 x2
Re  0.250  0.250  0.500 x4
P  0.000  0.500  0.000 x2

***

Calculated relative energies: i 0.000; ii 0.151, given in eV/atom

***

--- i ---
Here is crystalline ZnRe2P at its relaxed geometry from Alexandria via LeMat-Bulk. Energies are from PBE.

magnetization: 0.00 μB per formula unit

Cell: 4.217 4.217 3.042 Å, 90.00 90.00 90.00°
Space group P4/mmm (No. 123)
Inequivalent atoms, fractional coordinates:
Zn  0.000  0.000  0.000 x1
Re  0.000  0.500  0.500 x2
P  0.500  0.500  0.000 x1

***

--- ii ---
Here is crystalline ZnRe2P at its relaxed geometry from Alexandria via LeMat-Bulk. Energies are from PBE.

magnetization: 0.00 μB per formula unit

Cell: 2.955 3.912 9.881 Å, 90.00 90.00 90.00°
Space group Imm2 (No. 44)
Inequivalent atoms, fractional coordinates:
Zn  0.000  0.000  0.000 x2
Re  0.000  0.000  0.570 x2
Re  0.000  0.500  0.816 x2
P  0.000  0.500  0.259 x2

***

Calculated relative energies: i 0.149; ii 0.000, given in eV/atom

***

--- i ---
Here is crystalline ZnRe2P at its relaxed geometry from Alexandria via LeMat-Bulk. Energies are from PBE.

magnetization: 0.00 μB per formula unit

Cell: 3.744 3.744 17.776 Å, 90.00 90.00 90.00°
Space group I-42d (No. 122)
Inequivalent atoms, fractional coordinates:
Zn  0.000  0.000  0.000 x4
Re  0.225  0.250  0.625 x8
P  0.000  0.000  0.500 x4

***

--- ii ---
Here is crystalline ZnRe2P at its relaxed geometry from Alexandria via LeMat-Bulk. Energies are from PBE.

magnetization: 0.00 μB per formula unit

Cell: 2.905 3.712 5.408 Å, 90.00 101.90 90.00°
Space group P2/m (No. 10)
Inequivalent atoms, fractional coordinates:
Zn  0.000  0.000  0.000 x1
Re  0.349  0.500  0.729 x2
P  0.000  0.000  0.500 x1

***

--- iii ---
Here is crystalline ZnRe2P at its relaxed geometry from Alexandria via LeMat-Bulk. Energies are from PBE.

magnetization: 0.00 μB per formula unit

Cell: 2.961 4.146 4.694 Å, 90.00 90.00 90.00°
Space group Pmmm (No. 47)
Inequivalent atoms, fractional coordinates:
Zn  0.000  0.000  0.000 x1
Re  0.000  0.500  0.500 x1
Re  0.500  0.500  0.000 x1
P  0.500  0.000  0.500 x1

***

Calculated relative energies: i 0.353; ii 0.000; iii 0.276, given in eV/atom

***

--- i ---
Here is crystalline ZnRe2P at its relaxed geometry from Alexandria via LeMat-Bulk. Energies are from PBE.

magnetization: 0.00 μB per formula unit

Cell: 8.992 2.932 4.652 Å, 90.00 109.67 90.00°
Space group C2/m (No. 12)
Inequivalent atoms, fractional coordinates:
Zn  0.000  0.000  0.000 x2
Re  0.216  0.000  0.724 x4
P  0.000  0.500  0.500 x2

***

--- ii ---
Here is crystalline ZnRe2P at its relaxed geometry from Alexandria via LeMat-Bulk. Energies are from PBE.

magnetization: 0.00 μB per formula unit

Cell: 3.004 3.004 6.238 Å, 90.00 90.00 90.00°
Space group P4mm (No. 99)
Inequivalent atoms, fractional coordinates:
Zn  0.000  0.000  0.000 x1
Re  0.000  0.000  0.458 x1
Re  0.500  0.500  0.738 x1
P  0.500  0.500  0.255 x1

***

--- iii ---
Here is crystalline ZnRe2P at its relaxed geometry from Alexandria via LeMat-Bulk. Energies are from PBE.

magnetization: 0.00 μB per formula unit

Cell: 2.929 2.929 6.509 Å, 90.00 90.00 90.00°
Space group P4/mmm (No. 123)
Inequivalent atoms, fractional coordinates:
Zn  0.000  0.000  0.000 x1
Re  0.500  0.500  0.290 x2
P  0.000  0.000  0.500 x1

***

Calculated relative energies: i 0.169; ii 0.000; iii 0.100, given in eV/atom

***

--- i ---
Here is crystalline Zn3ReP at its relaxed geometry from Alexandria via LeMat-Bulk. Energies are from PBE.

magnetization: 2.40 μB per formula unit

Cell: 4.517 4.517 4.517 Å, 90.00 90.00 90.00°
Space group Pm-3m (No. 221)
Inequivalent atoms, fractional coordinates:
Zn  0.000  0.000  0.500 x3
Re  0.500  0.500  0.500 x1
P  0.000  0.000  0.000 x1

***

--- ii ---
Here is crystalline Zn3ReP at its relaxed geometry from Alexandria via LeMat-Bulk. Energies are from PBE.

magnetization: 1.79 μB per formula unit

Cell: 4.840 4.840 4.840 Å, 90.00 90.00 90.00°
Space group Pm-3m (No. 221)
Inequivalent atoms, fractional coordinates:
Zn  0.000  0.000  0.500 x3
Re  0.000  0.000  0.000 x1
P  0.500  0.500  0.500 x1

***

Calculated relative energies: i 0.000; ii 0.147, given in eV/atom